Computed, not measured: Tb4Dy6Th after structural relaxation at the GGA-PBE level of DFT.

Cell: 5.7428 5.5936 25.6020 Å, 90.00 90.00 120.89°
Fractional positions:
Tb  0.1544  0.3087  0.0419
Tb  0.5379  0.0759  0.6220
Tb  0.1544  0.3087  0.4581
Tb  0.4621  0.9241  0.3780
Tb  0.8456  0.6913  0.9581
Tb  0.5379  0.0759  0.8780
Tb  0.4621  0.9241  0.1220
Tb  0.8456  0.6913  0.5419
Dy  0.1329  0.2657  0.3175
Dy  0.8044  0.6088  0.3978
Dy  0.1956  0.3912  0.8978
Dy  0.8044  0.6088  0.1022
Dy  0.1329  0.2657  0.1825
Dy  0.4661  0.9322  0.2500
Dy  0.8671  0.7343  0.6825
Dy  0.5000  0.0000  0.5000
Dy  0.1956  0.3912  0.6022
Dy  0.5000  0.0000  0.0000
Dy  0.8671  0.7343  0.8175
Dy  0.5339  0.0678  0.7500
Th  0.8023  0.6047  0.2500
Th  0.1977  0.3953  0.7500

Calculated values
The value obtained for the relative energy among the computed polymorphs is 0.00 kJ per mole of atoms. The total energy is -4.73 eV/atom.